# DyCrIO4

DyCrIO4 after structural relaxation (PBE+U, the Alexandria database).

abc: 6.6479 6.6479 6.6041
angles: 79.77 79.77 60.97
With the nearest neighbours (Å) after each atom.
Fractional positions:
O 0.4823 0.4823 0.7722  1 Cr 1.67
Cr 0.6313 0.6313 0.7303  4 O 1.67-1.77
I 0.0134 0.0134 0.2722  1 I 2.96
O 0.5177 0.5177 0.2278  1 Cr 1.67
Dy 0.2781 0.2781 0.8597  6 O 2.23-2.34
Dy 0.7219 0.7219 0.1403  6 O 2.23-2.34
O 0.4911 0.8789 0.8666  1 Cr 1.77
O 0.7031 0.7031 0.4833  1 Cr 1.67
Cr 0.3687 0.3687 0.2697  4 O 1.67-1.77
O 0.2969 0.2969 0.5167  1 Cr 1.67
O 0.5089 0.1211 0.1334  1 Cr 1.77
O 0.1211 0.5089 0.1334  1 Cr 1.77
O 0.8789 0.4911 0.8666  1 Cr 1.77
I 0.9866 0.9866 0.7278  1 I 2.96

Summary:
* space group: No. 12
* calculated density: 5392 kg/m³
* raw total energy: -92.9 eV per cell